# 1
{
  "formula": "YPuIr",
  "functional": "PBE",
  "state": "optimized geometry",
  "lattice_angstrom": [[4.8018, 0.0000, 0.0000], [2.4009, 4.1585, 0.0000], [2.4009, 1.3862, 3.9207]],
  "species": ["Y", "Ir", "Pu"],
  "frac_coords": [[0.5000, 0.5000, 0.5000], [0.2500, 0.2500, 0.2500], [0.0000, 0.0000, 0.0000]],
  "e_above_lowest_polymorph_mev_per_atom": 126,
  "dft_energy_ev_per_atom": -10.32,
  "ef_kj_per_mol_fu": -125,
  "volume_a3_per_cell": 78
}



# 2
{
  "formula": "Lu3Rh",
  "functional": "PBE",
  "state": "optimized geometry",
  "lattice_angstrom": [[-2.5410, 2.4532, -0.2727], [-2.2664, -1.8759, 4.2431], [5.2532, 2.9934, 0.9878]],
  "species": ["Lu", "Lu", "Lu", "Rh"],
  "frac_coords": [[0.5000, 0.4165, 0.0000], [0.7002, 0.1167, 0.4004], [0.2998, 0.7163, 0.5996], [0.0000, 0.9171, 0.0000]],
  "dft_energy_ev_per_atom": -5.74,
  "ef_kj_per_mol_fu": -199,
  "volume_a3_per_cell": 96
}



# 3
{
  "formula": "Li23CaCd6",
  "functional": "PBE",
  "state": "optimized geometry",
  "lattice_angstrom": [[2.4077, 3.6472, 8.2909], [6.9005, -3.8935, 5.0061], [8.1868, 4.4607, 0.9575]],
  "species": ["Li", "Li", "Li", "Li", "Li", "Li", "Li", "Li", "Li", "Li", "Li", "Li", "Li", "Li", "Li", "Li", "Li", "Li", "Li", "Li", "Li", "Li", "Li", "Cd", "Cd", "Cd", "Cd", "Cd", "Cd", "Ca"],
  "frac_coords": [[0.8762, 0.8762, 0.8762], [0.6411, 0.0766, 0.6411], [0.5000, 0.0000, 0.5000], [0.6411, 0.6411, 0.0766], [0.0000, 0.0000, 0.5000], [0.6411, 0.6411, 0.6411], [0.1238, 0.6287, 0.1238], [0.8762, 0.8762, 0.3713], [0.5000, 0.5000, 0.0000], [0.3713, 0.8762, 0.8762], [0.1238, 0.1238, 0.1238], [0.9234, 0.3589, 0.3589], [0.1238, 0.1238, 0.6287], [0.0000, 0.5000, 0.0000], [0.5000, 0.0000, 0.0000], [0.0000, 0.5000, 0.5000], [0.0766, 0.6411, 0.6411], [0.3589, 0.3589, 0.9234], [0.0000, 0.0000, 0.0000], [0.3589, 0.9234, 0.3589], [0.3589, 0.3589, 0.3589], [0.6287, 0.1238, 0.1238], [0.8762, 0.3713, 0.8762], [0.2508, 0.7492, 0.7492], [0.7492, 0.7492, 0.2508], [0.7492, 0.2508, 0.2508], [0.7492, 0.2508, 0.7492], [0.2508, 0.7492, 0.2508], [0.2508, 0.2508, 0.7492], [0.5000, 0.5000, 0.5000]],
  "dft_energy_ev_per_atom": -1.83,
  "ef_kj_per_mol_fu": -332,
  "volume_a3_per_cell": 582
}



# 4
{
  "formula": "Pm2DyTm9",
  "functional": "PBE",
  "state": "optimized geometry",
  "lattice_angstrom": [[-1.7111, -0.7206, -5.5017], [1.2626, -5.6569, 0.3482], [-10.3061, -2.0861, 3.4786]],
  "species": ["Tm", "Tm", "Tm", "Tm", "Tm", "Tm", "Tm", "Tm", "Tm", "Dy", "Pm", "Pm"],
  "frac_coords": [[0.5000, 0.5000, 0.3333], [0.0000, 0.5000, 0.8356], [0.5000, 0.0000, 0.8356], [0.5000, 0.5000, 0.0000], [0.5000, 0.0000, 0.1644], [0.5000, 0.5000, 0.6667], [0.5000, 0.0000, 0.5000], [0.0000, 0.5000, 0.5000], [0.0000, 0.5000, 0.1644], [0.0000, 0.0000, 0.0000], [0.0000, 0.0000, 0.3325], [0.0000, 0.0000, 0.6675]],
  "e_above_lowest_polymorph_mev_per_atom": 57,
  "dft_energy_ev_per_atom": -4.40,
  "ef_kj_per_mol_fu": 147,
  "volume_a3_per_cell": 373
}



# 5
{
  "formula": "AlTc2Ru",
  "functional": "PBE",
  "state": "optimized geometry",
  "lattice_angstrom": [[-0.1459, 2.6466, -3.0920], [2.0873, -1.3602, -1.2627], [-1.2681, -4.3101, -3.6294]],
  "species": ["Tc", "Tc", "Al", "Ru"],
  "frac_coords": [[0.0000, 0.5134, 0.4866], [0.0000, 0.9866, 0.0134], [0.5000, 0.2500, 0.2500], [0.5000, 0.7500, 0.7500]],
  "e_above_lowest_polymorph_mev_per_atom": 81,
  "dft_energy_ev_per_atom": -8.61,
  "ef_kj_per_mol_fu": -65,
  "volume_a3_per_cell": 58
}



# 6
{
  "formula": "BaAcReN3",
  "functional": "PBE",
  "state": "optimized geometry",
  "lattice_angstrom": [[-3.2475, -3.5278, -4.1458], [2.9939, -2.7661, 4.8544], [-6.1606, 0.7224, 4.2111]],
  "species": ["Ba", "Ba", "N", "N", "N", "N", "N", "N", "Re", "Re", "Ac", "Ac"],
  "frac_coords": [[0.6667, 0.3333, 0.2500], [0.3333, 0.6667, 0.7500], [0.1655, 0.8345, 0.2500], [0.8345, 0.1655, 0.7500], [0.1655, 0.3310, 0.2500], [0.6690, 0.8345, 0.2500], [0.3310, 0.1655, 0.7500], [0.8345, 0.6690, 0.7500], [0.6667, 0.3333, 0.7500], [0.3333, 0.6667, 0.2500], [0.0000, 0.0000, 0.5000], [0.0000, 0.0000, 0.0000]],
  "dft_energy_ev_per_atom": -7.97,
  "e_form_raw_ev_per_fu": -4.4,
  "volume_a3_per_cell": 261
}



# 7
{
  "formula": "YNpS2",
  "functional": "PBE",
  "state": "optimized geometry",
  "lattice_angstrom": [[3.8933, 0.0000, 0.0000], [-1.9466, 3.3717, 0.0000], [0.0000, 0.0000, 12.9705]],
  "species": ["Y", "Y", "Np", "Np", "S", "S", "S", "S"],
  "frac_coords": [[0.6667, 0.3333, 0.2500], [0.3333, 0.6667, 0.7500], [0.0000, 0.0000, 0.0000], [0.0000, 0.0000, 0.5000], [0.3333, 0.6667, 0.3785], [0.6667, 0.3333, 0.8785], [0.3333, 0.6667, 0.1215], [0.6667, 0.3333, 0.6215]],
  "e_above_lowest_polymorph_mev_per_atom": 29,
  "dft_energy_ev_per_atom": -8.58,
  "e_form_raw_ev_per_fu": -6.7,
  "volume_a3_per_cell": 170
}



# 8
{
  "formula": "AlB2W",
  "functional": "PBE",
  "state": "optimized geometry",
  "lattice_angstrom": [[-2.1545, 3.9134, -3.7258], [-2.0865, -4.3025, -3.3125], [-4.4425, -0.1435, -2.1229]],
  "species": ["B", "B", "B", "B", "Al", "Al", "W", "W"],
  "frac_coords": [[0.6196, 0.1250, 0.2500], [0.3750, 0.3804, 0.7500], [0.1304, 0.6250, 0.2500], [0.8750, 0.8696, 0.7500], [0.2500, 0.7500, 0.5000], [0.5000, 0.5000, 0.0000], [0.0000, 0.0000, 0.0000], [0.7500, 0.2500, 0.5000]],
  "dft_energy_ev_per_atom": -6.90,
  "ef_kj_per_mol_fu": 238,
  "volume_a3_per_cell": 92
}



# 9
{
  "formula": "LiTbSc2S4",
  "functional": "PBE",
  "state": "optimized geometry",
  "lattice_angstrom": [[-2.5111, 2.0580, 1.8764], [-4.7079, -2.2422, -3.8411], [0.6190, -3.9856, 5.1996]],
  "species": ["S", "S", "S", "S", "Li", "Sc", "Sc", "Tb"],
  "frac_coords": [[0.5000, 0.7382, 0.7387], [0.0000, 0.2523, 0.7406], [0.0000, 0.7477, 0.2594], [0.5000, 0.2618, 0.2613], [0.5000, 0.5000, 0.0000], [0.5000, 0.0000, 0.5000], [0.0000, 0.5000, 0.5000], [0.0000, 0.0000, 0.0000]],
  "dft_energy_ev_per_atom": -6.34,
  "e_form_raw_ev_per_fu": -15.0,
  "volume_a3_per_cell": 151
}



# 10
{
  "formula": "Ba2C",
  "functional": "PBE",
  "state": "optimized geometry",
  "lattice_angstrom": [[1.9825, 7.9768, -0.0781], [-1.9825, 7.9768, -0.0781], [0.0000, 0.9759, 7.5513]],
  "species": ["C", "C", "Ba", "Ba", "Ba", "Ba"],
  "frac_coords": [[0.0361, 0.0361, 0.4490], [0.9639, 0.9639, 0.5510], [0.4320, 0.4320, 0.2722], [0.6691, 0.6691, 0.2618], [0.3309, 0.3309, 0.7382], [0.5680, 0.5680, 0.7278]],
  "e_above_lowest_polymorph_mev_per_atom": 0,
  "dft_energy_ev_per_atom": -4.22,
  "ef_kj_per_mol_fu": 39,
  "volume_a3_per_cell": 239
}



# 11
{
  "formula": "Mn3VI",
  "functional": "PBE",
  "state": "optimized geometry",
  "lattice_angstrom": [[-4.5106, 0.9050, 0.6348], [-0.3607, -3.7258, 2.7488], [1.0450, 2.6205, 3.6890]],
  "species": ["I", "V", "Mn", "Mn", "Mn"],
  "frac_coords": [[0.5000, 0.5000, 0.5000], [0.0000, 0.0000, 0.0000], [0.0000, 0.5000, 0.0000], [0.0000, 0.0000, 0.5000], [0.5000, 0.0000, 0.0000]],
  "e_above_lowest_polymorph_mev_per_atom": 0,
  "dft_energy_ev_per_atom": -6.62,
  "e_form_raw_ev_per_fu": 5.1,
  "volume_a3_per_cell": 100
}



# 12
{
  "formula": "CeY4",
  "functional": "PBE",
  "state": "optimized geometry",
  "lattice_angstrom": [[-1.8691, 2.0046, -2.2674], [-1.6580, -1.5113, -2.7605], [-13.0259, -1.6913, 6.4810]],
  "species": ["Y", "Y", "Y", "Y", "Ce"],
  "frac_coords": [[0.7997, 0.7997, 0.6003], [0.3984, 0.3984, 0.8030], [0.2003, 0.2003, 0.3997], [0.6016, 0.6016, 0.1970], [0.0000, 0.0000, 0.0000]],
  "e_above_lowest_polymorph_mev_per_atom": 0,
  "dft_energy_ev_per_atom": -6.31,
  "ef_kj_per_mol_fu": 25,
  "volume_a3_per_cell": 159
}



# 13
{
  "formula": "Ba3LiLa",
  "functional": "PBE",
  "state": "optimized geometry",
  "lattice_angstrom": [[-2.0664, 5.8607, -2.1142], [-5.7796, -0.9713, 2.9566], [2.3269, 2.7922, 5.4660]],
  "species": ["La", "Ba", "Ba", "Ba", "Li"],
  "frac_coords": [[0.0000, 0.0000, 0.0000], [0.0000, 0.5000, 0.0000], [0.0000, 0.0000, 0.5000], [0.5000, 0.0000, 0.0000], [0.5000, 0.5000, 0.5000]],
  "e_above_lowest_polymorph_mev_per_atom": 174,
  "dft_energy_ev_per_atom": -1.95,
  "ef_kj_per_mol_fu": 276,
  "volume_a3_per_cell": 283
}



# 14
{
  "formula": "Ce3PuFe8",
  "functional": "PBE",
  "state": "optimized geometry",
  "lattice_angstrom": [[4.8645, 0.0000, 1.4685], [2.2106, 4.3332, 1.4685], [0.0066, 0.0041, 8.7695]],
  "species": ["Fe", "Fe", "Fe", "Fe", "Fe", "Fe", "Fe", "Fe", "Ce", "Ce", "Ce", "Pu"],
  "frac_coords": [[0.4378, 0.9377, 0.6868], [0.4363, 0.4363, 0.1886], [0.6875, 0.6875, 0.9375], [0.9377, 0.4378, 0.6868], [0.9377, 0.9377, 0.6868], [0.4363, 0.9388, 0.1886], [0.9388, 0.4363, 0.1886], [0.1881, 0.1881, 0.4357], [0.5025, 0.5025, 0.4924], [0.3745, 0.3745, 0.8765], [0.9968, 0.9968, 0.0097], [0.8760, 0.8760, 0.3720]],
  "dft_energy_ev_per_atom": -8.33,
  "ef_kj_per_mol_fu": -8,
  "volume_a3_per_cell": 185
}



# 15
{
  "formula": "HfMg14Mn",
  "functional": "PBE",
  "state": "optimized geometry",
  "lattice_angstrom": [[-3.9030, 4.0165, -2.9985], [3.8967, -3.8329, -3.2376], [-7.2204, -7.1684, -0.2038]],
  "species": ["Mg", "Mg", "Mg", "Mg", "Mg", "Mg", "Mg", "Mg", "Mg", "Mg", "Mg", "Mg", "Mg", "Mg", "Hf", "Mn"],
  "frac_coords": [[0.3337, 0.6663, 0.0000], [0.1691, 0.8309, 0.7500], [0.3226, 0.1668, 0.5000], [0.6738, 0.3262, 0.2644], [0.1691, 0.8309, 0.2500], [0.6657, 0.8346, 0.2584], [0.8330, 0.1670, 0.0000], [0.8310, 0.6649, 0.0000], [0.6738, 0.3262, 0.7356], [0.1654, 0.3343, 0.7416], [0.6657, 0.8346, 0.7416], [0.8332, 0.6774, 0.5000], [0.1654, 0.3343, 0.2584], [0.3351, 0.1690, 0.0000], [0.3266, 0.6734, 0.5000], [0.8368, 0.1632, 0.5000]],
  "e_above_lowest_polymorph_mev_per_atom": 0,
  "dft_energy_ev_per_atom": -2.51,
  "ef_kj_per_mol_fu": 125,
  "volume_a3_per_cell": 351
}



# 16
{
  "formula": "AgAsH",
  "functional": "PBE",
  "state": "optimized geometry",
  "lattice_angstrom": [[-3.4043, 0.9211, 4.2570], [3.1278, -0.8299, 2.6809], [2.4142, 9.0269, -0.0225]],
  "species": ["As", "As", "As", "As", "Ag", "Ag", "Ag", "Ag", "H", "H", "H", "H"],
  "frac_coords": [[0.7616, 0.7288, 0.0325], [0.2384, 0.2288, 0.4675], [0.7384, 0.2712, 0.5325], [0.2616, 0.7712, 0.9675], [0.7783, 0.4706, 0.2753], [0.2217, 0.9706, 0.2247], [0.2783, 0.0294, 0.7247], [0.7217, 0.5294, 0.7753], [0.2494, 0.5930, 0.4546], [0.2506, 0.4070, 0.9546], [0.7494, 0.9070, 0.5454], [0.7506, 0.0930, 0.0454]],
  "dft_energy_ev_per_atom": -3.40,
  "volume_a3_per_cell": 217
}



# 17
{
  "formula": "MgReAu",
  "functional": "PBE",
  "state": "optimized geometry",
  "lattice_angstrom": [[2.8427, 0.0000, 0.0000], [-1.4214, 2.4619, 0.0000], [0.0000, 0.0000, 7.0817]],
  "species": ["Mg", "Au", "Re"],
  "frac_coords": [[0.6667, 0.3333, 0.3342], [0.0000, 0.0000, 0.0038], [0.3333, 0.6667, 0.6620]],
  "e_above_lowest_polymorph_mev_per_atom": 34,
  "dft_energy_ev_per_atom": -5.55,
  "ef_kj_per_mol_fu": 64,
  "volume_a3_per_cell": 50
}



# 18
{
  "formula": "Cu3Sn4PbO12",
  "functional": "PBE",
  "state": "optimized geometry",
  "lattice_angstrom": [[-2.9526, 1.0157, -6.0034], [-4.3448, -3.1085, 4.1534], [1.8003, 5.9540, 2.6644]],
  "species": ["O", "O", "O", "O", "O", "O", "O", "O", "O", "O", "O", "O", "Cu", "Cu", "Cu", "Sn", "Sn", "Sn", "Sn", "Pb"],
  "frac_coords": [[0.6876, 0.1732, 0.8608], [0.1732, 0.8608, 0.6876], [0.5144, 0.6876, 0.8268], [0.8268, 0.1392, 0.3124], [0.1392, 0.3124, 0.8268], [0.6876, 0.8268, 0.5144], [0.8608, 0.6876, 0.1732], [0.8268, 0.5144, 0.6876], [0.4856, 0.3124, 0.1732], [0.3124, 0.1732, 0.4856], [0.3124, 0.8268, 0.1392], [0.1732, 0.4856, 0.3124], [0.5000, 0.5000, 0.0000], [0.0000, 0.5000, 0.5000], [0.5000, 0.0000, 0.5000], [0.5000, 0.5000, 0.5000], [0.0000, 0.5000, 0.0000], [0.5000, 0.0000, 0.0000], [0.0000, 0.0000, 0.5000], [0.0000, 0.0000, 0.0000]],
  "dft_energy_ev_per_atom": -5.78,
  "e_form_raw_ev_per_fu": -24.2,
  "volume_a3_per_cell": 239
}



# 19
{
  "formula": "BaMoPb",
  "functional": "PBE",
  "state": "optimized geometry",
  "lattice_angstrom": [[5.4971, 0.0000, 0.0000], [2.7485, 4.7606, 0.0000], [2.7485, 1.5869, 4.4883]],
  "species": ["Pb", "Mo", "Ba"],
  "frac_coords": [[0.5000, 0.5000, 0.5000], [0.0000, 0.0000, 0.0000], [0.7500, 0.7500, 0.7500]],
  "e_above_lowest_polymorph_mev_per_atom": 781,
  "dft_energy_ev_per_atom": -4.11,
  "ef_kj_per_mol_fu": 400,
  "volume_a3_per_cell": 117
}



# 20
{
  "formula": "TcSb2C",
  "functional": "PBE",
  "state": "optimized geometry",
  "lattice_angstrom": [[-4.7426, -0.8097, 3.5077], [-1.9298, -4.3257, -3.6078], [-1.0070, -5.6417, 2.3896]],
  "species": ["Tc", "Tc", "C", "C", "Sb", "Sb", "Sb", "Sb"],
  "frac_coords": [[0.7500, 0.2500, 0.5000], [0.0000, 0.0000, 0.0000], [0.5000, 0.5000, 0.0000], [0.2500, 0.7500, 0.5000], [0.5696, 0.1250, 0.2500], [0.8750, 0.8196, 0.7500], [0.1804, 0.6250, 0.2500], [0.3750, 0.4304, 0.7500]],
  "dft_energy_ev_per_atom": -5.96,
  "e_form_raw_ev_per_fu": 4.0,
  "volume_a3_per_cell": 162
}